Density functional theory data (PBE) for Sc2Mn2Al5Tc after structural relaxation.

Structure (CIF):
```
data_Sc2Mn2Al5Tc
_chemical_formula_sum 'Sc4 Mn4 Al10 Tc2'
_symmetry_space_group_name_H-M 'P 4/m b m'
_symmetry_Int_Tables_number 127
_symmetry_space_group_name_Hall '-P 4 2ab'
_cell_length_a 8.866
_cell_length_b 8.866
_cell_length_c 4.068
_cell_angle_alpha 90.00
_cell_angle_beta 90.00
_cell_angle_gamma 90.00
loop_
_atom_site_label
_atom_site_type_symbol
_atom_site_fract_x
_atom_site_fract_y
_atom_site_fract_z
Sc1 Sc 0.178 0.322 0.000
Mn1 Mn 0.117 0.617 0.000
Al1 Al 0.000 0.500 0.500
Al2 Al 0.066 0.798 0.500
Tc1 Tc 0.000 0.000 0.000
```

## Properties
N(E_F)   16.076 states/eV/cell
Size of the total moment   4.93 μB/f.u.
Volume   16.0 A^3/atom
Formation enthalpy at 0 K   -0.278 eV per atom